A plane-wave DFT calculation with PBE was carried out for a relaxed BaCN2 crystal.

- crystal system = tetragonal
- calculated total energy (eV per cell) = -51.02

Unit cell a=5.2566 b=5.2566 c=5.0137 alpha=58.38 beta=58.38 gamma=90.00
Element x y z (fractional)
Ba  0.0000  0.0000  0.0000
Ba  0.7500  0.2500  0.5000
N  0.4549  0.6250  0.2500
N  0.3750  0.7049  0.7500
N  0.2951  0.1250  0.2500
N  0.8750  0.5451  0.7500
C  0.5000  0.5000  0.0000
C  0.2500  0.7500  0.5000